{"formula": "LiMoP2O7", "functional": "GGA+U", "state": "relaxed", "cell": [[-4.004, 6.297, 4.298], [-2.176, -3.400, 2.954], [4.225, -1.160, 5.635]], "species": ["P", "Li", "O", "O", "O", "O", "Mo", "O", "O", "Mo", "O", "O", "O", "P", "O", "P", "O", "O", "Li", "O", "P", "O"], "frac_coords": [[0.820, 0.901, 0.466], [0.644, 0.310, 0.668], [0.667, 0.736, 0.492], [0.795, 0.356, 0.881], [0.178, 0.458, 0.860], [0.337, 0.911, 0.763], [0.499, 0.709, 0.276], [0.566, 0.107, 0.078], [0.678, 0.542, 0.140], [0.999, 0.291, 0.724], [0.837, 0.089, 0.237], [0.167, 0.264, 0.508], [0.820, 0.101, 0.590], [0.320, 0.099, 0.534], [0.462, 0.294, 0.498], [0.711, 0.283, 0.081], [0.962, 0.706, 0.502], [0.320, 0.899, 0.410], [0.144, 0.690, 0.332], [0.066, 0.893, 0.922], [0.211, 0.717, 0.919], [0.295, 0.644, 0.119]], "crystal_system": "monoclinic", "dos_ef_per_ev_fu": 0.00, "magnetic_moment_mub_per_fu": 3.000, "de_polymorph_ev_per_atom": 0.000}